(1)
# MnTl2PbBr6 PBE relaxed
# uncorrected formation energy = -19.3 kcal/mol of atoms
# theoretical density = 5.5 Mg/m³
# size of the total moment = 5.00 Bohr magnetons per cell
# crystal system = triclinic
# DFT total energy = -3.601 eV/atom
data_MnTl2PbBr6
_chemical_formula_sum 'Mn1 Tl2 Pb1 Br6'
_cell_length_a 7.8045
_cell_length_b 7.8078
_cell_length_c 7.8119
_cell_angle_alpha 61.41
_cell_angle_beta 61.43
_cell_angle_gamma 61.40
_space_group_name_H-M_alt 'P -1'
_space_group_IT_number 2
loop_
_space_group_symop_operation_xyz
'x,y,z'
'-x,-y,-z'
loop_
_atom_site_label
_atom_site_type_symbol
_atom_site_fract_x
_atom_site_fract_y
_atom_site_fract_z
Mn1 Mn 0.0000 0.0000 0.0000
Tl1 Tl 0.2213 0.2217 0.2206
Pb1 Pb 0.5000 0.5000 0.5000
Br1 Br 0.1496 0.7775 0.3178
Br2 Br 0.2229 0.6828 0.8495
Br3 Br 0.3175 0.1501 0.7786

=====

(2)
# ZrMnPbBr2 PBE relaxed
# uncorrected formation energy = 2.4 kcal/mol of atoms
# theoretical density = 5.2 Mg/m³
# size of the total moment = 4.92 Bohr magnetons per cell
# crystal system = tetragonal
# DFT total energy = -4.852 eV/atom
data_ZrMnPbBr2
_chemical_formula_sum 'Zr1 Mn1 Pb1 Br2'
_cell_length_a 5.1803
_cell_length_b 5.1803
_cell_length_c 6.1267
_cell_angle_alpha 90.00
_cell_angle_beta 90.00
_cell_angle_gamma 90.00
_space_group_name_H-M_alt 'P 4/m m m'
_space_group_IT_number 123
_space_group_name_Hall '-P 4 2'
loop_
_atom_site_label
_atom_site_type_symbol
_atom_site_fract_x
_atom_site_fract_y
_atom_site_fract_z
Zr1 Zr 0.0000 0.0000 0.0000
Mn1 Mn 0.5000 0.5000 0.5000
Pb1 Pb 0.0000 0.0000 0.5000
Br1 Br 0.0000 0.5000 0.0000

=====

(3)
# Mn2PdBr PBE relaxed
# uncorrected formation energy = 21.8 kcal/mol of atoms
# theoretical density = 8.9 Mg/m³
# size of the total moment = 0.00 Bohr magnetons per cell
# crystal system = cubic
# DFT total energy = -5.355 eV/atom
data_Mn2PdBr
_chemical_formula_sum 'Mn8 Pd4 Br4'
_cell_length_a 6.0508
_cell_length_b 6.0508
_cell_length_c 6.0508
_cell_angle_alpha 90.00
_cell_angle_beta 90.00
_cell_angle_gamma 90.00
_space_group_name_H-M_alt 'F m -3 m'
_space_group_IT_number 225
_space_group_name_Hall '-F 4 2 3'
loop_
_atom_site_label
_atom_site_type_symbol
_atom_site_fract_x
_atom_site_fract_y
_atom_site_fract_z
Mn1 Mn 0.2500 0.2500 0.2500
Pd1 Pd 0.0000 0.0000 0.0000
Br1 Br 0.0000 0.0000 0.5000

=====

(4)
# MnPd2Br8 PBE relaxed
# uncorrected formation energy = -6.5 kcal/mol of atoms
# theoretical density = 3.6 Mg/m³
# size of the total moment = 5.95 Bohr magnetons per cell
# crystal system = monoclinic
# DFT total energy = -3.276 eV/atom
data_MnPd2Br8
_chemical_formula_sum 'Mn2 Pd4 Br16'
_cell_length_a 10.7265
_cell_length_b 9.9357
_cell_length_c 8.1877
_cell_angle_alpha 90.00
_cell_angle_beta 106.27
_cell_angle_gamma 90.00
_space_group_name_H-M_alt 'C 1 2/m 1'
_space_group_IT_number 12
loop_
_space_group_symop_operation_xyz
'x,y,z'
'-x,-y,-z'
'-x,y,-z'
'x,-y,z'
'x+1/2,y+1/2,z'
'-x+1/2,-y+1/2,-z'
'-x+1/2,y+1/2,-z'
'x+1/2,-y+1/2,z'
loop_
_atom_site_label
_atom_site_type_symbol
_atom_site_fract_x
_atom_site_fract_y
_atom_site_fract_z
Mn1 Mn 0.0000 0.0000 0.0000
Pd1 Pd 0.1321 0.0000 0.3986
Br1 Br 0.1152 0.0000 0.7001
Br2 Br 0.1340 0.5000 0.4794
Br3 Br 0.1442 0.1728 0.1560

=====

(5)
# MnPdBr2 PBE relaxed
# uncorrected formation energy = 9.9 kcal/mol of atoms
# theoretical density = 5.8 Mg/m³
# size of the total moment = 0.67 Bohr magnetons per cell
# crystal system = tetragonal
# DFT total energy = -3.997 eV/atom
data_MnPdBr2
_chemical_formula_sum 'Mn4 Pd4 Br8'
_cell_length_a 5.8734
_cell_length_b 5.8734
_cell_length_c 10.6670
_cell_angle_alpha 90.00
_cell_angle_beta 90.00
_cell_angle_gamma 90.00
_space_group_name_H-M_alt 'I -4 2 d'
_space_group_IT_number 122
_space_group_name_Hall 'I -4 2bw'
loop_
_atom_site_label
_atom_site_type_symbol
_atom_site_fract_x
_atom_site_fract_y
_atom_site_fract_z
Mn1 Mn 0.0000 0.0000 0.0000
Pd1 Pd 0.0000 0.0000 0.5000
Br1 Br 0.2102 0.2500 0.1250

=====

(6)
# MnPdBr2 PBE relaxed
# uncorrected formation energy = 16.6 kcal/mol of atoms
# theoretical density = 7.4 Mg/m³
# size of the total moment = 1.06 Bohr magnetons per cell
# crystal system = cubic
# DFT total energy = -3.705 eV/atom
data_MnPdBr2
_chemical_formula_sum 'Mn4 Pd4 Br8'
_cell_length_a 6.6010
_cell_length_b 6.6010
_cell_length_c 6.6010
_cell_angle_alpha 90.00
_cell_angle_beta 90.00
_cell_angle_gamma 90.00
_space_group_name_H-M_alt 'F m -3 m'
_space_group_IT_number 225
_space_group_name_Hall '-F 4 2 3'
loop_
_atom_site_label
_atom_site_type_symbol
_atom_site_fract_x
_atom_site_fract_y
_atom_site_fract_z
Mn1 Mn 0.0000 0.0000 0.0000
Pd1 Pd 0.0000 0.0000 0.5000
Br1 Br 0.2500 0.2500 0.2500

=====

(7)
# MnPdBr2 PBE relaxed
# uncorrected formation energy = 3.6 kcal/mol of atoms
# theoretical density = 4.9 Mg/m³
# size of the total moment = 11.88 Bohr magnetons per cell
# crystal system = trigonal
# DFT total energy = -4.270 eV/atom
data_MnPdBr2
_chemical_formula_sum 'Mn3 Pd3 Br6'
_cell_length_a 4.0484
_cell_length_b 4.0484
_cell_length_c 23.0749
_cell_angle_alpha 90.00
_cell_angle_beta 90.00
_cell_angle_gamma 120.00
_space_group_name_H-M_alt 'R -3 m'
_space_group_IT_number 166
_space_group_name_Hall '-R 3 2"'
loop_
_atom_site_label
_atom_site_type_symbol
_atom_site_fract_x
_atom_site_fract_y
_atom_site_fract_z
Mn1 Mn 0.0000 0.0000 0.0000
Pd1 Pd 0.0000 0.0000 0.5000
Br1 Br 0.0000 0.0000 0.1025

=====

(8)
# Mn2PdBr PBE relaxed
# uncorrected formation energy = 9.2 kcal/mol of atoms
# theoretical density = 5.9 Mg/m³
# size of the total moment = 35.77 Bohr magnetons per cell
# crystal system = tetragonal
# DFT total energy = -5.901 eV/atom
data_Mn2PdBr
_chemical_formula_sum 'Mn8 Pd4 Br4'
_cell_length_a 6.9215
_cell_length_b 6.9215
_cell_length_c 6.9438
_cell_angle_alpha 90.00
_cell_angle_beta 90.00
_cell_angle_gamma 90.00
_space_group_name_H-M_alt 'I -4 2 d'
_space_group_IT_number 122
_space_group_name_Hall 'I -4 2bw'
loop_
_atom_site_label
_atom_site_type_symbol
_atom_site_fract_x
_atom_site_fract_y
_atom_site_fract_z
Mn1 Mn 0.2391 0.2500 0.1250
Pd1 Pd 0.0000 0.0000 0.0000
Br1 Br 0.0000 0.0000 0.5000

=====

Q: Among the records above, which one has the highest size of the total moment?
A: number 8

=====

Q: uncorrected formation energy of number 8 (Mn2PdBr)?
A: 9.2 kcal/mol of atoms

=====

Q: What is the theoretical density in the third record?
A: 8.9 Mg/m³

=====

Q: The highest DFT total energy belongs to which entry?
A: MnPd2Br8